# 1
4
Lattice="2.1494 1.2409 7.7181 -2.1494 1.2409 7.7181 0.0000 -2.4819 7.7181" Properties=species:S:1:pos:R:3 comment="PBE SnHgTe2, relaxed" raw_formation_energy_mev_per_atom=-132 total_magnetization_mub_per_cell=0.0 pbc="T T T"
Sn 0.0000 0.0000 0.0000
Hg 0.0000 0.0000 19.2371
Te 0.0000 0.0000 9.5299
Te 0.0000 0.0000 13.5511



# 2
80
Lattice="-8.9787 8.9787 8.9787 8.9787 -8.9787 8.9787 8.9787 8.9787 -8.9787" Properties=species:S:1:pos:R:3 comment="PBE Sn5Hg3Te12, relaxed" raw_formation_energy_mev_per_atom=69 total_magnetization_mub_per_cell=0.0 pbc="T T T"
Sn 0.0000 0.0000 0.0000
Sn 4.4893 4.4893 -4.4893
Sn 4.4893 -4.4893 4.4893
Sn 8.9787 0.0000 0.0000
Sn 13.4680 2.2447 0.0000
Sn 8.9787 -4.4893 6.7340
Sn 6.7340 8.9787 -4.4893
Sn 6.7340 0.0000 4.4893
Sn 4.4893 6.7340 0.0000
Sn 8.9787 4.4893 2.2447
Sn -4.4893 4.4893 4.4893
Sn 0.0000 8.9787 0.0000
Sn 0.0000 0.0000 8.9787
Sn 4.4893 4.4893 4.4893
Sn 0.0000 4.4893 6.7340
Sn 4.4893 2.2447 8.9787
Sn 2.2447 8.9787 4.4893
Sn 2.2447 0.0000 13.4680
Sn 0.0000 13.4680 2.2447
Sn -4.4893 6.7340 8.9787
Hg 4.4893 2.2447 0.0000
Hg 8.9787 4.4893 -2.2447
Hg 2.2447 0.0000 4.4893
Hg 11.2233 0.0000 4.4893
Hg 0.0000 4.4893 2.2447
Hg 4.4893 -2.2447 8.9787
Hg 4.4893 11.2233 0.0000
Hg 8.9787 4.4893 6.7340
Hg -2.2447 8.9787 4.4893
Hg 6.7340 8.9787 4.4893
Hg 0.0000 4.4893 11.2233
Hg 4.4893 6.7340 8.9787
Te 2.7346 -0.4272 1.2794
Te 10.7334 5.7687 -4.9166
Te 8.5514 -1.2794 2.7346
Te 13.8952 -1.7547 3.2100
Te 11.7133 0.4272 1.2794
Te 10.7334 -3.2100 4.9166
Te 1.2794 2.7346 -0.4272
Te 12.1886 4.0621 -1.7547
Te 5.7687 4.9166 -1.7547
Te 7.6993 2.7346 0.4272
Te -0.4272 1.2794 2.7346
Te 4.9166 -1.7547 5.7687
Te 8.5514 7.6993 -2.7346
Te 4.9166 1.7547 3.2100
Te 7.6993 -2.7346 8.5514
Te 5.7687 -4.9166 10.7334
Te 3.2100 4.9166 1.7547
Te 10.2580 6.2440 0.4272
Te 2.7346 8.5514 -1.2794
Te 10.7334 3.2100 4.0621
Te 4.9166 10.7334 -3.2100
Te 8.5514 1.2794 6.2440
Te 1.7547 3.2100 4.9166
Te 2.7346 0.4272 7.6993
Te 6.2440 8.5514 1.2794
Te 7.2239 5.7687 4.0621
Te 0.4272 7.6993 2.7346
Te 4.0621 -1.7547 12.1886
Te -1.7547 5.7687 4.9166
Te 6.2440 0.4272 10.2580
Te -1.2794 2.7346 8.5514
Te 5.7687 4.0621 7.2239
Te 3.2100 13.8952 -1.7547
Te 1.2794 11.7133 0.4272
Te 4.0621 7.2239 5.7687
Te 0.4272 1.2794 11.7133
Te 4.0621 10.7334 3.2100
Te 9.4059 7.6993 6.2440
Te 1.2794 6.2440 8.5514
Te 3.2100 4.0621 10.7334
Te -3.2100 4.9166 10.7334
Te 7.6993 6.2440 9.4059
Te -1.7547 12.1886 4.0621
Te -2.7346 8.5514 7.6993
Te -4.9166 10.7334 5.7687
Te 0.4272 10.2580 6.2440
Te -1.7547 3.2100 13.8952
Te 6.2440 9.4059 7.6993



# 3
3
Lattice="4.5194 0.0000 0.0000 -2.2597 3.9139 0.0000 0.0000 0.0000 5.5623" Properties=species:S:1:pos:R:3 comment="PBE SnHgTe, relaxed" raw_formation_energy_mev_per_atom=-154 total_magnetization_mub_per_cell=0.0 pbc="T T T"
Sn 0.0000 0.0000 0.0000
Hg 2.2597 1.3046 3.7464
Te 0.0000 2.6093 1.5583



# 4
10
Lattice="8.4401 0.0000 0.0000 0.0000 8.4401 0.0000 0.0000 0.0000 4.1389" Properties=species:S:1:pos:R:3 comment="PBE SnHg2Te2, relaxed" raw_formation_energy_mev_per_atom=62 total_magnetization_mub_per_cell=0.0 pbc="T T T"
Sn 0.0000 0.0000 0.0000
Sn 4.2201 4.2201 0.0000
Hg 1.1852 3.0348 2.0695
Hg 3.0348 7.2549 2.0695
Hg 5.4053 1.1852 2.0695
Hg 7.2549 5.4053 2.0695
Te 1.4257 5.6458 0.0000
Te 2.7944 1.4257 0.0000
Te 5.6458 7.0144 0.0000
Te 7.0144 2.7944 0.0000



# 5
9
Lattice="7.8676 -2.1401 0.0000 7.8676 2.1401 0.0000 -4.4255 0.0000 8.9747" Properties=species:S:1:pos:R:3 comment="PBE Sn4Hg2Te3, relaxed" raw_formation_energy_mev_per_atom=-52 total_magnetization_mub_per_cell=0.0 pbc="T T T"
Sn -0.4756 0.0000 2.2031
Sn 1.3197 0.0000 6.2933
Sn 9.9901 0.0000 2.6814
Sn 11.7854 0.0000 6.7716
Hg -1.2630 0.0000 8.1474
Hg 12.5728 0.0000 0.8274
Te 3.6862 0.0000 4.4159
Te 7.8676 0.0000 0.0000
Te 7.6236 0.0000 4.5588



# 6
3
Lattice="-1.9580 1.9580 6.3043 1.9580 -1.9580 6.3043 1.9580 1.9580 -6.3043" Properties=species:S:1:pos:R:3 comment="PBE SnHgTe, relaxed" raw_formation_energy_mev_per_atom=-26 total_magnetization_mub_per_cell=0.0 pbc="T T T"
Sn 0.0000 0.0000 0.0000
Hg 0.0000 0.0000 8.7722
Te 0.0000 0.0000 4.9020



# 7
80
Lattice="-9.0041 9.0041 9.0041 9.0041 -9.0041 9.0041 9.0041 9.0041 -9.0041" Properties=species:S:1:pos:R:3 comment="PBE Sn12Hg5Te3, relaxed" raw_formation_energy_mev_per_atom=194 total_magnetization_mub_per_cell=0.0 pbc="T T T"
Sn 11.7378 -0.0016 1.2870
Sn 10.7725 -3.2151 4.5004
Sn 2.7337 0.0016 1.2870
Sn 10.7725 5.7891 -4.5004
Sn 9.0058 -1.2870 2.7337
Sn 13.5045 -1.7684 3.2151
Sn 1.2870 2.7337 0.0016
Sn 5.7891 4.5004 -1.7684
Sn 7.7171 2.7337 -0.0016
Sn 12.2192 4.5037 -1.7684
Sn 0.0016 1.2870 2.7337
Sn 4.5004 -1.7684 5.7891
Sn 9.0058 7.7171 -2.7337
Sn 4.5004 1.7684 3.2151
Sn 3.2151 4.5004 1.7684
Sn 10.2911 6.2704 -0.0016
Sn 5.7891 -4.5004 10.7725
Sn 7.7171 -2.7337 9.0058
Sn 4.5004 10.7725 -3.2151
Sn 9.0058 1.2870 6.2704
Sn 1.7684 3.2151 4.5004
Sn 2.7337 -0.0016 7.7171
Sn 2.7337 9.0058 -1.2870
Sn 10.7725 3.2151 4.5037
Sn -1.7684 5.7891 4.5004
Sn 6.2704 -0.0016 10.2911
Sn 6.2704 9.0058 1.2870
Sn 7.2358 5.7891 4.5037
Sn -0.0016 7.7171 2.7337
Sn 4.5037 -1.7684 12.2192
Sn 1.2870 11.7378 -0.0016
Sn 3.2151 13.5045 -1.7684
Sn -1.2870 2.7337 9.0058
Sn 5.7891 4.5037 7.2358
Sn 4.5037 7.2358 5.7891
Sn -0.0016 1.2870 11.7378
Sn 4.5037 10.7725 3.2151
Sn 9.0025 7.7171 6.2704
Sn -3.2151 4.5004 10.7725
Sn 1.2870 6.2704 9.0058
Sn 3.2151 4.5037 10.7725
Sn 7.7171 6.2704 9.0025
Sn -4.5004 10.7725 5.7891
Sn -0.0016 10.2911 6.2704
Sn -1.7684 3.2151 13.5045
Sn 6.2704 9.0025 7.7171
Sn -1.7684 12.2192 4.5037
Sn -2.7337 9.0058 7.7171
Hg 0.0000 0.0000 0.0000
Hg 4.5021 4.5021 -4.5021
Hg 4.5021 -4.5021 4.5021
Hg 9.0041 0.0000 0.0000
Hg 13.5062 2.2510 0.0000
Hg 9.0041 -4.5021 6.7531
Hg 6.7531 9.0041 -4.5021
Hg 6.7531 0.0000 4.5021
Hg 4.5021 6.7531 0.0000
Hg 9.0041 4.5021 2.2510
Hg -4.5021 4.5021 4.5021
Hg 0.0000 9.0041 0.0000
Hg 0.0000 0.0000 9.0041
Hg 4.5021 4.5021 4.5021
Hg 0.0000 4.5021 6.7531
Hg 4.5021 2.2510 9.0041
Hg 2.2510 9.0041 4.5021
Hg 2.2510 0.0000 13.5062
Hg 0.0000 13.5062 2.2510
Hg -4.5021 6.7531 9.0041
Te 4.5021 2.2510 0.0000
Te 9.0041 4.5021 -2.2510
Te 2.2510 0.0000 4.5021
Te 11.2551 0.0000 4.5021
Te 0.0000 4.5021 2.2510
Te 4.5021 -2.2510 9.0041
Te 4.5021 11.2551 0.0000
Te 9.0041 4.5021 6.7531
Te -2.2510 9.0041 4.5021
Te 6.7531 9.0041 4.5021
Te 0.0000 4.5021 11.2551
Te 4.5021 6.7531 9.0041



# 8
6
Lattice="3.2207 -3.2230 0.0000 3.2207 3.2230 0.0000 -0.1916 0.0000 9.0714" Properties=species:S:1:pos:R:3 comment="PBE SnHgTe, relaxed" raw_formation_energy_mev_per_atom=-160 total_magnetization_mub_per_cell=0.0 pbc="T T T"
Sn 1.4617 0.0000 2.9935
Sn 4.7880 0.0000 6.0778
Hg 3.2207 1.6089 0.0000
Hg 3.2207 -1.6089 0.0000
Te 1.5268 0.0000 5.9592
Te 4.7230 0.0000 3.1122



# 9
6
Lattice="6.2916 -2.1718 0.0000 6.2916 2.1718 0.0000 -2.0492 0.0000 7.6308" Properties=species:S:1:pos:R:3 comment="PBE SnHgTe, relaxed" raw_formation_energy_mev_per_atom=-115 total_magnetization_mub_per_cell=0.0 pbc="T T T"
Sn 1.4446 0.0000 0.7298
Sn 9.0893 0.0000 6.9009
Hg 4.1787 0.0000 1.7129
Hg 6.3552 0.0000 5.9179
Te 3.5174 0.0000 5.0576
Te 7.0165 0.0000 2.5731



# 10
8
Lattice="2.6761 1.5450 11.7500 -2.6761 1.5450 11.7500 0.0000 -3.0900 11.7500" Properties=species:S:1:pos:R:3 comment="PBE TlSnHgTe, relaxed" raw_formation_energy_mev_per_atom=-20 total_magnetization_mub_per_cell=0.0 pbc="T T T"
Tl 0.0000 0.0000 3.8037
Tl 0.0000 0.0000 31.4464
Sn 0.0000 0.0000 10.2092
Sn 0.0000 0.0000 25.0409
Hg 0.0000 0.0000 6.9483
Hg 0.0000 0.0000 28.3018
Te 0.0000 0.0000 13.3661
Te 0.0000 0.0000 21.8840



# 11
4
Lattice="0.0000 3.9249 3.9249 3.9249 0.0000 3.9249 3.9249 3.9249 0.0000" Properties=species:S:1:pos:R:3 comment="PBE TlSnHgTe, relaxed" raw_formation_energy_mev_per_atom=-25 total_magnetization_mub_per_cell=0.0 pbc="T T T"
Tl 0.0000 0.0000 0.0000
Sn 3.9249 3.9249 3.9249
Hg 1.9624 1.9624 1.9624
Te 5.8873 5.8873 5.8873



# 12
8
Lattice="7.7504 0.0000 0.0000 0.0000 4.4685 0.0000 -2.5170 0.0000 7.3789" Properties=species:S:1:pos:R:3 comment="PBE TlSn2HgTe4, relaxed" raw_formation_energy_mev_per_atom=-194 total_magnetization_mub_per_cell=0.0 pbc="T T T"
Tl 0.0000 0.0000 0.0000
Sn -1.2585 2.2343 3.6895
Sn 2.6167 0.0000 3.6895
Hg 3.8752 2.2343 0.0000
Te 0.1045 0.0000 5.4898
Te 1.3755 2.2343 1.9275
Te 3.8578 2.2343 5.4514
Te 5.1289 0.0000 1.8891